VASP calculation (GGA-PBE) on a geometry-optimized Tl3Co structure.

## Properties
ΔH_f (0 K) (meV/atom): 332

abc: 7.2610 8.6103 6.0412
angles: 90.00 90.00 90.00
Space group Pnma (No. 62)
Unique sites:
Tl 0.0365 0.2500 0.1547 x4
Tl 0.1719 0.0613 0.6565 x8
Co 0.1433 0.7500 0.4545 x4

VASP calculation (GGA-PBE) on a geometry-optimized AlTlTe2 structure.

## Properties
Formation energy (no corrections) (eV per atom): 0.1443

abc: 4.9491 4.9491 9.4869
angles: 90.00 90.00 90.00
Space group I4/mmm (No. 139)
Unique sites:
Al 0.0000 0.0000 0.0000 x2
Tl 0.0000 0.0000 0.5000 x2
Te 0.0000 0.5000 0.2500 x4

VASP calculation (GGA-PBE) on a geometry-optimized PrSc2Cu3 structure.

## Properties
ΔH_f (0 K) (meV/atom): -213

abc: 3.3447 3.3447 10.2879
angles: 90.00 90.00 90.00
Space group P4/mmm (No. 123)
Unique sites:
Pr 0.0000 0.0000 0.0000 x1
Sc 0.0000 0.0000 0.3447 x2
Cu 0.5000 0.5000 0.2052 x2
Cu 0.5000 0.5000 0.5000 x1